(1)
# TlRe3Se4Cl2, relaxed, DFT GGA-PBEsol
data_TlRe3Se4Cl2
_chemical_formula_sum 'Tl2 Re6 Se8 Cl4'
_space_group_name_H-M_alt 'P -1'
_space_group_IT_number 2
_space_group_name_Hall '-P 1'
_cell_length_a 6.541
_cell_length_b 8.761
_cell_length_c 8.813
_cell_angle_alpha 84.86
_cell_angle_beta 82.29
_cell_angle_gamma 68.95
loop_
_atom_site_label
_atom_site_type_symbol
_atom_site_fract_x
_atom_site_fract_y
_atom_site_fract_z
Tl1 Tl 0.190 0.139 0.467
Re1 Re 0.269 0.423 0.023
Re2 Re 0.322 0.685 0.106
Re3 Re 0.408 0.606 0.814
Se1 Se 0.021 0.720 0.942
Se2 Se 0.195 0.498 0.301
Se3 Se 0.359 0.348 0.748
Se4 Se 0.463 0.854 0.900
Cl1 Cl 0.088 0.923 0.242
Cl2 Cl 0.294 0.746 0.575
# - Crystal system: triclinic

---

(2)
# ReSiCl2, relaxed, DFT GGA-PBEsol
data_ReSiCl2
_chemical_formula_sum 'Re3 Si3 Cl6'
_space_group_name_H-M_alt 'R -3 m'
_space_group_IT_number 166
_space_group_name_Hall '-R 3 2"'
_cell_length_a 2.8989
_cell_length_b 2.8989
_cell_length_c 27.0249
_cell_angle_alpha 90.00
_cell_angle_beta 90.00
_cell_angle_gamma 120.00
loop_
_atom_site_label
_atom_site_type_symbol
_atom_site_fract_x
_atom_site_fract_y
_atom_site_fract_z
Re1 Re 0.0000 0.0000 0.0000
Si1 Si 0.0000 0.0000 0.5000
Cl1 Cl 0.0000 0.0000 0.0834
# - ΔE to the lowest computed polymorph: 0 meV/atom
# - Crystal system: trigonal

---

(3)
# ReSi2Cl, relaxed, DFT GGA-PBEsol
data_ReSi2Cl
_chemical_formula_sum 'Re2 Si4 Cl2'
_space_group_name_H-M_alt 'C m m m'
_space_group_IT_number 65
_space_group_name_Hall '-C 2 2'
_cell_length_a 5.352
_cell_length_b 7.293
_cell_length_c 2.899
_cell_angle_alpha 90.00
_cell_angle_beta 90.00
_cell_angle_gamma 90.00
loop_
_atom_site_label
_atom_site_type_symbol
_atom_site_fract_x
_atom_site_fract_y
_atom_site_fract_z
Re1 Re 0.000 0.000 0.000
Si1 Si 0.250 0.250 0.500
Cl1 Cl 0.000 0.500 0.000
# - ΔE to the lowest computed polymorph: 260 meV/atom
# - Crystal system: orthorhombic

---

In the order shown, the computed formation energy (no corrections) values come out to -0.584 0.335 0.541 eV/atom.
In the order shown, the computed total magnetization values come out to 0.000 0.000 0.000 μB per atom.